Crystalline Sr2UAgO6 at its relaxed geometry, computed with PBE.

Lattice parameters (Å, degrees): 6.282 6.282 5.816 117.42 117.42 55.04
Element x y z (fractional)
1 Sr 0.249 0.249 0.214
2 Sr 0.751 0.751 0.786
3 U 0.000 0.000 0.500
4 Ag 0.500 0.500 0.000
5 O 0.175 0.681 0.183
6 O 0.197 0.197 0.577
7 O 0.319 0.825 0.817
8 O 0.681 0.175 0.183
9 O 0.803 0.803 0.423
10 O 0.825 0.319 0.817

Computed properties:
V	161	Å³/cell
final energy	-7.2270	eV/atom
Fermi-level density of states	4.2	states/eV/cell
ΔE_f (raw)	-2.502	eV/atom